The following is a PBE-GGA calculation of a geometry-optimized DyMnAl3 structure, from Alexandria.

Lattice parameters (Å, degrees): 4.5424 4.5424 4.5424 90.00 90.00 90.00
With the nearest neighbours (Å) after each atom.
Atoms (fractional coordinates):
Mn  0.0000  0.0000  0.0000  6 Al 2.27
Al  0.0000  0.5000  0.0000  2 Mn 2.27
Al  0.0000  0.0000  0.5000  2 Mn 2.27
Al  0.5000  0.0000  0.0000  2 Mn 2.27
Dy  0.5000  0.5000  0.5000  12 Al 3.21

Values from the calculation:
The value obtained for the total energy is -5.2239 eV/atom. As for the energy above the lowest structure with this stoichiometry: 41 meV/atom. The formation energy is -0.22 eV/atom. The calculation puts the volume at 94 Å³/cell. The value obtained for the spin magnetization is 0.0 μB/f.u.